# 1
{"formula": "NaNbAl2", "functional": "PBE-GGA", "state": "relaxed", "sg": "I-42d, No. 122", "formation_energy_ev_per_atom": 0.5999, "n_ef_per_ev_cell": 7.8, "lattice": [[7.2862, 0.0000, 0.0000], [0.0000, 7.2862, 0.0000], [0.0000, 0.0000, 5.9634]], "species": ["Na", "Na", "Na", "Na", "Nb", "Nb", "Nb", "Nb", "Al", "Al", "Al", "Al", "Al", "Al", "Al", "Al"], "frac_coords": [[0.0000, 0.0000, 0.0000], [0.0000, 0.5000, 0.2500], [0.5000, 0.0000, 0.7500], [0.5000, 0.5000, 0.5000], [0.0000, 0.0000, 0.5000], [0.0000, 0.5000, 0.7500], [0.5000, 0.0000, 0.2500], [0.5000, 0.5000, 0.0000], [0.2482, 0.2500, 0.6250], [0.2500, 0.7482, 0.8750], [0.2500, 0.7518, 0.3750], [0.2518, 0.2500, 0.1250], [0.7482, 0.7500, 0.1250], [0.7500, 0.2482, 0.3750], [0.7500, 0.2518, 0.8750], [0.7518, 0.7500, 0.6250]]}

---

# 2
{"formula": "NaNbAl3", "functional": "PBE-GGA", "state": "relaxed", "sg": "Pm-3m, No. 221", "relative_energy_ev_per_atom": 0.000, "formation_energy_ev_per_atom": 0.5046, "n_ef_per_ev_cell": 3.5, "lattice": [[5.0967, 0.0000, 0.0000], [0.0000, 5.0967, 0.0000], [0.0000, 0.0000, 5.0967]], "species": ["Na", "Nb", "Al", "Al", "Al"], "frac_coords": [[0.0000, 0.0000, 0.0000], [0.5000, 0.5000, 0.5000], [0.0000, 0.5000, 0.5000], [0.5000, 0.0000, 0.5000], [0.5000, 0.5000, 0.0000]]}